# 1
## BiIr (PBE)

Data for a relaxed BiIr crystal.

As for the total moment: 0.000 μB per formula unit. For the final energy, the calculation gives -5.849 eV per atom.

Cell lengths 5.6255, 5.6255, 5.6255 Å; angles 90.00, 90.00, 90.00 degrees
Space group Fm-3m (No. 225)
Inequivalent atoms, fractional coordinates:
Bi1 0.0000 0.0000 0.0000 x4
Ir1 0.0000 0.0000 0.5000 x4


# 2
## NiAgBr2 (PBE)

Data for a relaxed NiAgBr2 crystal.

The value obtained for the relative energy among the computed polymorphs is 1.741 eV per formula unit. The raw formation energy comes out at 315 meV per atom. As for the total moment: 1.015 μB per formula unit. For the final energy, the calculation gives -2.679 eV per atom.

Cell lengths 6.9238, 6.9238, 6.9238 Å; angles 90.00, 90.00, 90.00 degrees
Space group Fm-3m (No. 225)
Inequivalent atoms, fractional coordinates:
Ni1 0.0000 0.0000 0.0000 x4
Ag1 0.0000 0.0000 0.5000 x4
Br1 0.2500 0.2500 0.2500 x8